[1]
# FeTc2Rh

A geometry-optimized FeTc2Rh structure (PBE-GGA, Alexandria via LeMat-Bulk).

The structure in CIF format:
```
data_FeTc2Rh
_symmetry_space_group_name_H-M 'I m m 2'
_symmetry_Int_Tables_number 44
_cell_length_a 2.8732
_cell_length_b 4.3857
_cell_length_c 8.8511
_cell_angle_alpha 90.00
_cell_angle_beta 90.00
_cell_angle_gamma 90.00
loop_
_symmetry_equiv_pos_as_xyz
'x,y,z'
'-x,-y,z'
'-x,y,z'
'x,-y,z'
'x+1/2,y+1/2,z+1/2'
'-x+1/2,-y+1/2,z+1/2'
'-x+1/2,y+1/2,z+1/2'
'x+1/2,-y+1/2,z+1/2'
loop_
_atom_site_label
_atom_site_type_symbol
_atom_site_fract_x
_atom_site_fract_y
_atom_site_fract_z
Fe1 Fe 0.0000 0.0000 0.0000
Tc1 Tc 0.0000 0.0000 0.5085
Tc2 Tc 0.0000 0.5000 0.2755
Rh1 Rh 0.0000 0.5000 0.7321
```

Calculated values
For the energy, the calculation gives -8.968 eV/atom. Its calculated formation energy is 169 meV per atom. The value obtained for the calculated volume is 55.8 Å³/f.u.



[2]
# FeTc2Rh

A geometry-optimized FeTc2Rh structure (PBE-GGA, Alexandria via LeMat-Bulk).

The structure in CIF format:
```
data_FeTc2Rh
_symmetry_space_group_name_H-M 'I -4 2 d'
_symmetry_Int_Tables_number 122
_symmetry_space_group_name_Hall 'I -4 2bw'
_cell_length_a 3.6734
_cell_length_b 3.6734
_cell_length_c 17.7737
_cell_angle_alpha 90.00
_cell_angle_beta 90.00
_cell_angle_gamma 90.00
loop_
_atom_site_label
_atom_site_type_symbol
_atom_site_fract_x
_atom_site_fract_y
_atom_site_fract_z
Fe1 Fe 0.0000 0.0000 0.0000
Tc1 Tc 0.2201 0.2500 0.1250
Rh1 Rh 0.0000 0.0000 0.5000
```

Calculated values
For the energy, the calculation gives -8.624 eV/atom. Its calculated formation energy is 513 meV per atom. The value obtained for the calculated volume is 60.0 Å³/f.u.



[3]
# FeTcRh2

A geometry-optimized FeTcRh2 structure (PBE-GGA, Alexandria via LeMat-Bulk).

The structure in CIF format:
```
data_FeTcRh2
_symmetry_space_group_name_H-M 'F m -3 m'
_symmetry_Int_Tables_number 225
_symmetry_space_group_name_Hall '-F 4 2 3'
_cell_length_a 6.0342
_cell_length_b 6.0342
_cell_length_c 6.0342
_cell_angle_alpha 90.00
_cell_angle_beta 90.00
_cell_angle_gamma 90.00
loop_
_atom_site_label
_atom_site_type_symbol
_atom_site_fract_x
_atom_site_fract_y
_atom_site_fract_z
Fe1 Fe 0.0000 0.0000 0.0000
Tc1 Tc 0.0000 0.0000 0.5000
Rh1 Rh 0.2500 0.2500 0.2500
```

Calculated values
For the energy, the calculation gives -7.942 eV/atom. Its calculated formation energy is 441 meV per atom. The value obtained for the calculated volume is 54.9 Å³/f.u.



[4]
# Fe2TcRh2

A geometry-optimized Fe2TcRh2 structure (PBE-GGA, Alexandria via LeMat-Bulk).

The structure in CIF format:
```
data_Fe2TcRh2
_symmetry_space_group_name_H-M 'P 4/m b m'
_symmetry_Int_Tables_number 127
_symmetry_space_group_name_Hall '-P 4 2ab'
_cell_length_a 7.0868
_cell_length_b 7.0868
_cell_length_c 2.6228
_cell_angle_alpha 90.00
_cell_angle_beta 90.00
_cell_angle_gamma 90.00
loop_
_atom_site_label
_atom_site_type_symbol
_atom_site_fract_x
_atom_site_fract_y
_atom_site_fract_z
Fe1 Fe 0.1704 0.3296 0.0000
Tc1 Tc 0.0000 0.0000 0.5000
Rh1 Rh 0.1284 0.6284 0.5000
```

Calculated values
For the energy, the calculation gives -8.072 eV/atom. Its calculated formation energy is 327 meV per atom. The value obtained for the calculated volume is 65.9 Å³/f.u.



[5]
# FeTcRh2

A geometry-optimized FeTcRh2 structure (PBE-GGA, Alexandria via LeMat-Bulk).

The structure in CIF format:
```
data_FeTcRh2
_symmetry_space_group_name_H-M 'R 3 m'
_symmetry_Int_Tables_number 160
_symmetry_space_group_name_Hall 'R 3 -2"'
_cell_length_a 2.7181
_cell_length_b 2.7181
_cell_length_c 25.9149
_cell_angle_alpha 90.00
_cell_angle_beta 90.00
_cell_angle_gamma 120.00
loop_
_atom_site_label
_atom_site_type_symbol
_atom_site_fract_x
_atom_site_fract_y
_atom_site_fract_z
Fe1 Fe 0.0000 0.0000 0.0000
Tc1 Tc 0.0000 0.0000 0.8345
Rh1 Rh 0.0000 0.0000 0.4162
Rh2 Rh 0.0000 0.0000 0.5843
```

Calculated values
For the energy, the calculation gives -8.430 eV/atom. Its calculated formation energy is -47 meV per atom. The value obtained for the calculated volume is 55.3 Å³/f.u.



[6]
# TiFeTcRh

A geometry-optimized TiFeTcRh structure (PBE-GGA, Alexandria via LeMat-Bulk).

The structure in CIF format:
```
data_TiFeTcRh
_symmetry_space_group_name_H-M 'F -4 3 m'
_symmetry_Int_Tables_number 216
_symmetry_space_group_name_Hall 'F -4 2 3'
_cell_length_a 6.0931
_cell_length_b 6.0931
_cell_length_c 6.0931
_cell_angle_alpha 90.00
_cell_angle_beta 90.00
_cell_angle_gamma 90.00
loop_
_atom_site_label
_atom_site_type_symbol
_atom_site_fract_x
_atom_site_fract_y
_atom_site_fract_z
Ti1 Ti 0.0000 0.0000 0.0000
Fe1 Fe 0.0000 0.0000 0.5000
Tc1 Tc 0.2500 0.2500 0.7500
Rh1 Rh 0.2500 0.2500 0.2500
```

Calculated values
For the energy, the calculation gives -8.802 eV/atom. Its calculated formation energy is -283 meV per atom. The value obtained for the calculated volume is 56.6 Å³/f.u.



[7]
# VFeTcRh

A geometry-optimized VFeTcRh structure (PBE-GGA, Alexandria via LeMat-Bulk).

The structure in CIF format:
```
data_VFeTcRh
_symmetry_space_group_name_H-M 'F -4 3 m'
_symmetry_Int_Tables_number 216
_symmetry_space_group_name_Hall 'F -4 2 3'
_cell_length_a 6.0189
_cell_length_b 6.0189
_cell_length_c 6.0189
_cell_angle_alpha 90.00
_cell_angle_beta 90.00
_cell_angle_gamma 90.00
loop_
_atom_site_label
_atom_site_type_symbol
_atom_site_fract_x
_atom_site_fract_y
_atom_site_fract_z
V1 V 0.0000 0.0000 0.0000
Fe1 Fe 0.0000 0.0000 0.5000
Tc1 Tc 0.2500 0.2500 0.2500
Rh1 Rh 0.2500 0.2500 0.7500
```

Calculated values
For the energy, the calculation gives -8.938 eV/atom. Its calculated formation energy is -113 meV per atom. The value obtained for the calculated volume is 54.5 Å³/f.u.



[8]
# Fe2TcRhW

A geometry-optimized Fe2TcRhW structure (PBE-GGA, Alexandria via LeMat-Bulk).

The structure in CIF format:
```
data_Fe2TcRhW
_symmetry_space_group_name_H-M 'P 4/m m m'
_symmetry_Int_Tables_number 123
_symmetry_space_group_name_Hall '-P 4 2'
_cell_length_a 4.3288
_cell_length_b 4.3288
_cell_length_c 4.6453
_cell_angle_alpha 90.00
_cell_angle_beta 90.00
_cell_angle_gamma 90.00
loop_
_atom_site_label
_atom_site_type_symbol
_atom_site_fract_x
_atom_site_fract_y
_atom_site_fract_z
Fe1 Fe 0.0000 0.5000 0.0000
Tc1 Tc 0.0000 0.0000 0.0000
Rh1 Rh 0.0000 0.0000 0.5000
W1 W 0.5000 0.5000 0.5000
```

Calculated values
For the energy, the calculation gives -7.753 eV/atom. Its calculated formation energy is 1766 meV per atom. The value obtained for the calculated volume is 87.0 Å³/f.u.